(1)
Here is a crystal of YCu2Sn2 relaxed with PBEsol from Alexandria. Energies are from meta-GGA SCAN.

Geometry as extended XYZ:
```
10
Lattice="4.311 0.000 0.000 0.000 4.311 0.000 0.000 0.000 10.601" Properties=species:S:1:pos:R:3 pbc="T T T"
Y 1.078 1.078 2.524
Y 3.234 3.234 8.077
Cu 1.078 1.078 6.776
Cu 1.078 3.234 0.000
Cu 3.234 1.078 0.000
Cu 3.234 3.234 3.825
Sn 1.078 1.078 9.232
Sn 1.078 3.234 5.301
Sn 3.234 1.078 5.301
Sn 3.234 3.234 1.369
```

***

(2)
Here is a crystal of ZrCuSn relaxed with PBEsol from Alexandria. Energies are from meta-GGA SCAN.

Geometry as extended XYZ:
```
12
Lattice="6.611 0.000 0.000 0.000 4.314 0.000 0.000 0.000 7.643" Properties=species:S:1:pos:R:3 pbc="T T T"
Zr 0.006 1.078 1.639
Zr 3.300 3.235 5.461
Zr 3.311 1.078 2.182
Zr 6.606 3.235 6.003
Cu 1.304 3.235 3.161
Cu 2.002 1.078 6.982
Cu 4.610 3.235 0.661
Cu 5.307 1.078 4.482
Sn 1.450 1.078 4.485
Sn 1.855 3.235 0.664
Sn 4.756 1.078 6.979
Sn 5.161 3.235 3.158
```

***

(3)
Here is a crystal of Zr5CuSn3 relaxed with PBEsol from Alexandria. Energies are from meta-GGA SCAN.

Geometry as extended XYZ:
```
18
Lattice="8.568 0.000 0.000 -4.284 7.421 0.000 0.000 0.000 5.814" Properties=species:S:1:pos:R:3 pbc="T T T"
Zr -1.126 1.951 1.453
Zr -3.158 5.470 4.360
Zr 2.252 0.000 1.453
Zr 1.126 1.951 4.360
Zr 0.000 4.947 0.000
Zr 0.000 4.947 2.907
Zr 4.284 2.474 0.000
Zr 4.284 2.474 2.907
Zr 6.316 0.000 4.360
Zr 3.158 5.470 1.453
Cu 0.000 0.000 0.000
Cu 0.000 0.000 2.907
Sn -1.654 2.864 4.360
Sn -2.631 4.556 1.453
Sn 3.307 0.000 4.360
Sn 1.654 2.864 1.453
Sn 5.261 0.000 1.453
Sn 2.631 4.556 4.360
```

***

(4)
Here is a crystal of SrCu5 relaxed with PBEsol from Alexandria. Energies are from meta-GGA SCAN.

Geometry as extended XYZ:
```
6
Lattice="5.147 0.000 0.000 -2.574 4.458 0.000 0.000 0.000 3.983" Properties=species:S:1:pos:R:3 pbc="T T T"
Sr 0.000 0.000 0.000
Cu -1.287 2.229 1.992
Cu 0.000 2.972 0.000
Cu 2.574 0.000 1.992
Cu 1.287 2.229 1.992
Cu 2.574 1.486 0.000
```

***

(5)
Here is a crystal of Sr3Cu relaxed with PBEsol from Alexandria. Energies are from meta-GGA SCAN.

Geometry as extended XYZ:
```
4
Lattice="2.717 -2.731 0.000 2.717 2.731 0.000 0.000 0.000 10.059" Properties=species:S:1:pos:R:3 pbc="T T T"
Sr 0.000 0.000 0.000
Sr 2.717 0.000 3.257
Sr 2.717 0.000 6.803
Cu 0.000 0.000 5.030
```

***

(6)
Here is a crystal of Sr3Cu relaxed with PBEsol from Alexandria. Energies are from meta-GGA SCAN.

Geometry as extended XYZ:
```
4
Lattice="-2.028 5.597 3.515 2.028 -5.597 3.515 2.028 5.597 -3.515" Properties=species:S:1:pos:R:3 pbc="T T T"
Sr 0.000 0.000 0.000
Sr 2.028 3.584 0.005
Sr 0.000 2.013 3.519
Cu 2.028 0.000 2.257
```

***

(7)
Here is a crystal of Sr3Cu relaxed with PBEsol from Alexandria. Energies are from meta-GGA SCAN.

Geometry as extended XYZ:
```
4
Lattice="2.145 1.238 10.571 -2.145 1.238 10.571 0.000 -2.476 10.571" Properties=species:S:1:pos:R:3 pbc="T T T"
Sr 0.000 0.000 0.000
Sr 0.000 0.000 7.015
Sr 0.000 0.000 24.698
Cu 0.000 0.000 15.857
```

***

(8)
Here is a crystal of SrCu2 relaxed with PBEsol from Alexandria. Energies are from meta-GGA SCAN.

Geometry as extended XYZ:
```
24
Lattice="5.517 0.000 0.000 -2.759 4.778 0.000 0.000 0.000 17.013" Properties=species:S:1:pos:R:3 pbc="T T T"
Sr 0.000 0.000 1.680
Sr 0.000 0.000 6.826
Sr 0.000 0.000 10.187
Sr 0.000 0.000 15.333
Sr 0.000 3.185 2.630
Sr 0.000 3.185 5.877
Sr 2.759 1.593 11.136
Sr 2.759 1.593 14.383
Cu -1.379 2.389 0.000
Cu -1.379 2.389 8.506
Cu 0.000 1.759 12.760
Cu -1.235 3.899 12.760
Cu 0.000 3.185 10.526
Cu 0.000 3.185 14.993
Cu 1.523 0.879 4.253
Cu 2.759 0.000 0.000
Cu 2.759 0.000 8.506
Cu 1.379 2.389 0.000
Cu 1.379 2.389 8.506
Cu 1.235 3.899 12.760
Cu 2.759 1.593 2.020
Cu 2.759 1.593 6.487
Cu 3.994 0.879 4.253
Cu 2.759 3.019 4.253
```

***

(9)
Here is a crystal of SrCu relaxed with PBEsol from Alexandria. Energies are from meta-GGA SCAN.

Geometry as extended XYZ:
```
4
Lattice="5.050 0.000 0.000 -2.525 4.374 0.000 0.000 0.000 4.865" Properties=species:S:1:pos:R:3 pbc="T T T"
Sr 0.000 2.916 1.216
Sr 2.525 1.458 3.649
Cu 0.000 0.000 0.000
Cu 0.000 0.000 2.433
```

***

(10)
Here is a crystal of SrCu relaxed with PBEsol from Alexandria. Energies are from meta-GGA SCAN.

Geometry as extended XYZ:
```
4
Lattice="0.000 3.536 3.536 3.536 0.000 3.536 3.536 3.536 0.000" Properties=species:S:1:pos:R:3 pbc="T T T"
Sr 0.884 0.884 0.884
Sr 6.189 6.189 6.189
Cu 2.652 2.652 2.652
Cu 4.420 4.420 4.420
```

***

(11)
Here is a crystal of Sr3Cu relaxed with PBEsol from Alexandria. Energies are from meta-GGA SCAN.

Geometry as extended XYZ:
```
16
Lattice="8.062 0.000 0.000 0.000 10.654 0.000 0.000 0.000 7.145" Properties=species:S:1:pos:R:3 pbc="T T T"
Sr 0.352 2.663 1.121
Sr 1.401 0.744 4.777
Sr 1.401 4.583 4.777
Sr 2.631 6.071 1.205
Sr 2.631 9.910 1.205
Sr 3.679 7.990 4.694
Sr 4.383 2.663 2.451
Sr 5.432 0.744 5.941
Sr 5.432 4.583 5.941
Sr 6.662 6.071 2.368
Sr 6.662 9.910 2.368
Sr 7.710 7.990 6.024
Cu 0.978 7.990 3.190
Cu 3.054 2.663 6.762
Cu 5.009 7.990 0.383
Cu 7.085 2.663 3.956
```

***

(12)
Here is a crystal of SrCu relaxed with PBEsol from Alexandria. Energies are from meta-GGA SCAN.

Geometry as extended XYZ:
```
4
Lattice="4.132 0.000 0.000 -2.066 3.579 0.000 0.000 0.000 7.878" Properties=species:S:1:pos:R:3 pbc="T T T"
Sr 0.000 0.000 0.000
Sr 0.000 0.000 3.939
Cu 0.000 2.386 1.970
Cu 2.066 1.193 5.909
```

***

(13)
Here is a crystal of SrCu2 relaxed with PBEsol from Alexandria. Energies are from meta-GGA SCAN.

Geometry as extended XYZ:
```
6
Lattice="-2.100 2.100 7.220 2.100 -2.100 7.220 2.100 2.100 -7.220" Properties=species:S:1:pos:R:3 pbc="T T T"
Sr 2.100 1.050 1.805
Sr 0.000 1.050 5.415
Cu 2.100 -1.050 4.212
Cu 2.100 -1.050 6.618
Cu 0.000 3.150 0.602
Cu 0.000 3.150 3.008
```

***

(14)
Here is a crystal of Sr3Cu relaxed with PBEsol from Alexandria. Energies are from meta-GGA SCAN.

Geometry as extended XYZ:
```
4
Lattice="4.155 0.000 0.000 -2.078 3.598 0.000 0.000 0.000 10.900" Properties=species:S:1:pos:R:3 pbc="T T T"
Sr 0.000 0.000 0.000
Sr 0.000 2.399 3.512
Sr 0.000 2.399 7.388
Cu 0.000 0.000 5.450
```

***

(15)
3
Lattice="-1.595 1.595 6.257 1.595 -1.595 6.257 1.595 1.595 -6.257" Properties=species:S:1:pos:R:3 comment="SrTaCu (meta-GGA SCAN, PBEsol geometry)" relative_energy_ev_per_atom=0.000 pbc="T T T"
Sr 0.000 0.000 0.000
Ta 0.000 0.000 3.612
Cu 0.000 0.000 8.599

***

(16)
4
Lattice="3.959 0.000 0.000 0.000 3.959 0.000 0.000 0.000 5.155" Properties=species:S:1:pos:R:3 comment="SrTa2Cu (meta-GGA SCAN, PBEsol geometry)" relative_energy_ev_per_atom=0.530 pbc="T T T"
Sr 0.000 0.000 0.000
Ta 0.000 1.979 2.578
Ta 1.979 0.000 2.578
Cu 1.979 1.979 0.000

***

(17)
4
Lattice="-1.497 2.747 4.979 1.497 -2.747 4.979 1.497 2.747 -4.979" Properties=species:S:1:pos:R:3 comment="SrTa2Cu (meta-GGA SCAN, PBEsol geometry)" relative_energy_ev_per_atom=0.471 pbc="T T T"
Sr 0.000 0.000 0.000
Ta 0.000 0.000 4.751
Ta 0.000 2.747 2.021
Cu 1.497 0.000 2.616

***

(18)
4
Lattice="4.935 0.000 0.000 0.000 4.935 0.000 0.000 0.000 3.025" Properties=species:S:1:pos:R:3 comment="SrTa2Cu (meta-GGA SCAN, PBEsol geometry)" relative_energy_ev_per_atom=0.961 pbc="T T T"
Sr 0.000 0.000 0.000
Ta 0.000 2.467 1.512
Ta 2.467 0.000 1.512
Cu 2.467 2.467 0.000

***

(19)
4
Lattice="3.027 0.000 0.000 0.000 3.583 0.000 0.000 0.000 7.706" Properties=species:S:1:pos:R:3 comment="SrTa2Cu (meta-GGA SCAN, PBEsol geometry)" relative_energy_ev_per_atom=0.000 pbc="T T T"
Sr 0.000 0.000 0.000
Ta 0.000 0.000 4.177
Ta 1.513 1.791 2.659
Cu 1.513 1.791 5.489

***

(20)
4
Lattice="3.380 0.000 0.000 0.000 3.380 0.000 0.000 0.000 9.367" Properties=species:S:1:pos:R:3 comment="Sr2TaCu (meta-GGA SCAN, PBEsol geometry)" relative_energy_ev_per_atom=0.000 pbc="T T T"
Sr 0.000 0.000 0.000
Sr 1.690 1.690 3.620
Ta 0.000 0.000 6.062
Cu 1.690 1.690 7.148

***

(21)
Here is a crystal of SrTa3Cu relaxed with PBEsol from Alexandria. Energies are from meta-GGA SCAN.

Geometry as extended XYZ:
```
5
Lattice="4.751 0.000 0.000 0.000 4.751 0.000 0.000 0.000 4.751" Properties=species:S:1:pos:R:3 pbc="T T T"
Sr 0.000 0.000 0.000
Ta 0.000 0.000 2.375
Ta 0.000 2.375 0.000
Ta 2.375 0.000 0.000
Cu 2.375 2.375 2.375
```

***

(22)
4
Lattice="1.685 0.973 10.108 -1.685 0.973 10.108 0.000 -1.945 10.108" Properties=species:S:1:pos:R:3 comment="Sr2TaCu (meta-GGA SCAN, PBEsol geometry)" relative_energy_ev_per_atom=0.444 pbc="T T T"
Sr 0.000 0.000 7.416
Sr 0.000 0.000 22.907
Ta 0.000 0.000 0.000
Cu 0.000 0.000 15.161

***

(23)
4
Lattice="0.000 3.370 3.370 3.370 0.000 3.370 3.370 3.370 0.000" Properties=species:S:1:pos:R:3 comment="SrTa2Cu (meta-GGA SCAN, PBEsol geometry)" relative_energy_ev_per_atom=0.458 pbc="T T T"
Sr 0.000 0.000 0.000
Ta 1.685 1.685 1.685
Ta 3.370 3.370 3.370
Cu 5.054 5.054 5.054

***

(24)
3
Lattice="0.000 3.291 3.291 3.291 0.000 3.291 3.291 3.291 0.000" Properties=species:S:1:pos:R:3 comment="SrTaCu (meta-GGA SCAN, PBEsol geometry)" relative_energy_ev_per_atom=0.681 pbc="T T T"
Sr 0.000 0.000 0.000
Ta 3.291 3.291 3.291
Cu 4.937 4.937 4.937

***

(25)
Here is a crystal of SrTaCu2Tc relaxed with PBEsol from Alexandria. Energies are from meta-GGA SCAN.

Geometry as extended XYZ:
```
5
Lattice="4.664 0.000 0.000 0.000 4.664 0.000 0.000 0.000 4.856" Properties=species:S:1:pos:R:3 pbc="T T T"
Sr 0.000 0.000 0.000
Ta 2.332 2.332 0.000
Cu 0.000 2.332 2.428
Cu 2.332 0.000 2.428
Tc 0.000 0.000 2.428
```

***

(26)
Here is a crystal of Sr3CuTc relaxed with PBEsol from Alexandria. Energies are from meta-GGA SCAN.

Geometry as extended XYZ:
```
5
Lattice="5.631 0.000 0.000 0.000 5.631 0.000 0.000 0.000 5.631" Properties=species:S:1:pos:R:3 pbc="T T T"
Sr 0.000 0.000 2.816
Sr 0.000 2.816 0.000
Sr 2.816 0.000 0.000
Cu 0.000 0.000 0.000
Tc 2.816 2.816 2.816
```

***

(27)
Here is a crystal of Sr2CuTc relaxed with PBEsol from Alexandria. Energies are from meta-GGA SCAN.

Geometry as extended XYZ:
```
4
Lattice="0.000 3.672 3.672 3.672 0.000 3.672 3.672 3.672 0.000" Properties=species:S:1:pos:R:3 pbc="T T T"
Sr 1.836 1.836 1.836
Sr 5.507 5.507 5.507
Cu 0.000 0.000 0.000
Tc 3.672 3.672 3.672
```

***

| no. | total magnetic moment (μB/f.u.) | D(E_F) (states/eV per cell) | calculated formation energy (meV/atom) |
| --- | --- | --- | --- |
| 1 | 0.00 | 3.72 | -427.2 |
| 2 | 0.00 | 4.31 | -496.9 |
| 3 | 0.00 | 13.52 | -652.2 |
| 4 | 0.00 | 2.82 | -48.6 |
| 5 | 0.09 | 3.48 | 50.0 |
| 6 | 0.01 | 4.31 | 67.5 |
| 7 | 0.43 | 3.77 | 50.2 |
| 8 | 0.00 | 11.42 | 63.2 |
| 9 | 0.00 | 2.28 | -8.4 |
| 10 | 0.00 | 4.20 | 368.9 |
| 11 | 0.11 | 13.60 | 6.0 |
| 12 | 0.00 | 3.57 | 247.0 |
| 13 | 0.00 | 2.38 | -41.4 |
| 14 | 0.07 | 3.39 | 91.4 |
| 15 | 0.00 | 2.87 | 583.4 |
| 16 | 0.00 | 5.23 | 1007.3 |
| 17 | 0.00 | 3.83 | 948.5 |
| 18 | 0.00 | 3.55 | 1438.2 |
| 19 | 0.00 | 3.77 | 477.3 |
| 20 | 0.26 | 4.14 | 539.5 |
| 21 | 0.00 | 4.77 | 3321.2 |
| 22 | 0.00 | 2.22 | 983.6 |
| 23 | 0.00 | 5.22 | 935.3 |
| 24 | 2.28 | 3.75 | 1263.9 |
| 25 | 3.28 | 4.43 | 1925.9 |
| 26 | 3.72 | 4.39 | 825.2 |
| 27 | 2.47 | 2.91 | 778.4 |